Density functional theory data (PBE) for an optimized crystal structure of Ce5BiPb2N.

Summary:
calculated volume: 267.4 Å³/f.u.
space group: No. 123
E_form (uncorrected): -66.6 kJ per mole of atoms
calculated total energy: -6.168 eV per atom

Cell: 4.7849 4.7849 11.6808 Å, 90.00 90.00 90.00°
Fractional positions:
Ce1 0.0000 0.0000 0.0000
Ce2 0.0000 0.5000 0.5000
Ce3 0.5000 0.0000 0.5000
Ce4 0.5000 0.5000 0.2749
Ce5 0.5000 0.5000 0.7251
Bi1 0.5000 0.5000 0.0000
Pb1 0.0000 0.0000 0.2889
Pb2 0.0000 0.0000 0.7111
N1 0.5000 0.5000 0.5000

Density functional theory data (PBE) for an optimized crystal structure of CeBi2PdN.

Summary:
calculated volume: 124.0 Å³/f.u.
space group: No. 129
E_form (uncorrected): -65.7 kJ per mole of atoms
calculated total energy: -6.124 eV per atom

Cell: 3.9357 3.9357 16.0135 Å, 90.00 90.00 90.00°
Fractional positions:
Ce1 0.2500 0.2500 0.0702
Ce2 0.7500 0.7500 0.9298
Bi1 0.2500 0.2500 0.4286
Bi2 0.2500 0.2500 0.7802
Bi3 0.7500 0.7500 0.2198
Bi4 0.7500 0.7500 0.5714
Pd1 0.2500 0.2500 0.6085
Pd2 0.7500 0.7500 0.3915
N1 0.2500 0.7500 0.0000
N2 0.7500 0.2500 0.0000